# 1
Below is an optimized crystal structure of Na2MgAu2, with properties calculated at the PBE-GGA level.

energy above the lowest structure with this stoichiometry = 0.033 eV per atom
calculated volume = 232.5 Å³/cell
E = -2.468 eV/atom
energy of formation = -1.552 eV/f.u.

Unit cell a=7.1428 b=7.1428 c=4.5563 alpha=90.00 beta=90.00 gamma=90.00
Element x y z (fractional)
Na 0.6632 0.8368 0.5000
Au 0.3604 0.8604 0.0000
Na 0.8368 0.3368 0.5000
Mg 0.0000 0.0000 0.0000
Mg 0.5000 0.5000 0.0000
Au 0.1396 0.3604 0.0000
Na 0.1632 0.6632 0.5000
Au 0.8604 0.6396 0.0000
Au 0.6396 0.1396 0.0000
Na 0.3368 0.1632 0.5000

***

# 2
Below is an optimized crystal structure of B2Sb2Cl, with properties calculated at the PBE-GGA level.

energy above the lowest structure with this stoichiometry = 0.000 eV per atom
calculated volume = 92.6 Å³/cell
formation energy (no corrections) = 0.551 eV/atom
E = -4.139 eV/atom

Unit cell a=3.4122 b=3.4122 c=8.3081 alpha=78.15 beta=78.15 gamma=90.00
Element x y z (fractional)
Cl 0.0000 0.0000 0.0000
Sb 0.3600 0.3600 0.2801
B 0.2500 0.7500 0.5000
Sb 0.6400 0.6400 0.7199
B 0.7500 0.2500 0.5000